Entry 1:
VASP calculation (PBE) on an optimized crystal structure of TbPaSb2.

Results
Offset from the most stable computed form: 0.153 eV/atom

abc: 3.775 3.775 7.484
angles: 90.00 90.00 90.00
Sites, in units of the cell vectors:
Pa1 0.500 0.500 0.000
Tb1 0.500 0.500 0.500
Sb1 0.000 0.000 0.758
Sb2 0.000 0.000 0.242

***

Entry 2:
VASP calculation (PBE) on an optimized crystal structure of TbPaSb2.

Results
Offset from the most stable computed form: 0.101 eV/atom

abc: 4.305 4.305 7.928
angles: 74.24 74.24 60.00
Sites, in units of the cell vectors:
Pa1 0.670 0.670 0.991
Sb1 0.252 0.252 0.245
Sb2 0.082 0.082 0.753
Tb1 0.496 0.496 0.512

***

Entry 3:
VASP calculation (PBE) on an optimized crystal structure of TbPaSb2.

Results
Offset from the most stable computed form: 0.168 eV/atom

abc: 5.317 5.317 5.318
angles: 60.01 60.01 60.00
Sites, in units of the cell vectors:
Tb1 0.500 0.500 0.500
Sb1 0.750 0.750 0.750
Sb2 0.250 0.250 0.250
Pa1 0.000 0.000 0.000

***

ΔE_f (raw) per entry: -0.628; -0.680; -0.614 eV per atom
Magnetization per entry: 0.7; 0.6; 1.2 μB per cell
D(E_F) per entry: 1.16; 1.46; 1.37 states/eV per atom